A crystal of SrP2H4O6 relaxed with PBEsol, computed with meta-GGA SCAN.

Cell lengths 5.7683, 7.1362, 8.1075 Å; angles 98.19, 104.14, 106.91 degrees
Last column: nearest neighbours and their distance in Å.
Fractional coordinates of all 26 atoms:
H 0.4198 0.7856 0.4079  1 P 1.42
H 0.5802 0.2144 0.5921  1 P 1.42
H 0.1710 0.8894 0.5737  1 P 1.41
H 0.8290 0.1106 0.4263  1 P 1.41
H 0.9361 0.5557 0.2163  1 O 1.03
H 0.0639 0.4443 0.7837  1 O 1.03
H 0.7727 0.5275 0.4376  1 O 1.02
H 0.2273 0.4725 0.5624  1 O 1.02
O 0.0113 0.8867 0.8208  1 P 1.51
O 0.9887 0.1133 0.1792  1 P 1.51
O 0.4014 0.5754 0.1444  1 P 1.52
O 0.5986 0.4246 0.8556  1 P 1.52
O 0.0252 0.6867 0.1835  1 H 1.03
O 0.9748 0.3133 0.8165  1 H 1.03
O 0.7783 0.6319 0.5403  1 H 1.02
O 0.2217 0.3681 0.4597  1 H 1.02
O 0.2073 0.6265 0.7182  1 P 1.55, 2 H 1.56-1.60
O 0.7927 0.3735 0.2818  1 P 1.55, 2 H 1.56-1.60
O 0.4234 0.9344 0.1604  1 P 1.52
O 0.5766 0.0656 0.8396  1 P 1.52
P 0.3252 0.7452 0.2234  1 H 1.42, 2 O 1.52
P 0.6748 0.2548 0.7766  1 H 1.42, 2 O 1.52
P 0.0493 0.7635 0.6689  1 H 1.41, 3 O 1.51-1.58
P 0.9507 0.2365 0.3311  1 H 1.41, 3 O 1.51-1.58
Sr 0.6665 0.7858 0.9637  8 O 2.48-2.71
Sr 0.3335 0.2142 0.0363  8 O 2.48-2.71

Calculated total energy in eV/atom: -9.206
V in Å³ per cell: 301
Crystal system: triclinic
Symmetry: P-1
Theoretical density in Mg/m³: 2.75